No. 1
Zn2CrIr | PBE | optimized geometry

extended XYZ file:
```
4
Lattice="-3.757 -2.046 0.511 -3.280 1.979 1.970 -3.449 1.230 -2.269" Properties=species:S:1:pos:R:3 pbc="T T T"
Cr 0.000 0.000 0.000
Zn -2.622 0.291 0.053
Zn -7.865 0.873 0.159
Ir -5.243 0.582 0.106
```

Summary:
The calculation puts the spin magnetization at 3.65 Bohr magnetons per cell. The raw total energy is -5.309 eV per atom. The calculation puts the formation energy at -20 kJ/mol of formula units. As for the density of states at the Fermi level: 0.766 states/eV per atom. The value obtained for the polymorph energy (0 for the lowest one) is 4.07 kJ per mole of atoms.

---

No. 2
FeReAu2 | PBE | optimized geometry

extended XYZ file:
```
4
Lattice="-0.016 3.886 -2.791 -2.422 -1.148 -3.964 -1.202 -0.498 4.604" Properties=species:S:1:pos:R:3 pbc="T T T"
Au 0.000 0.000 0.000
Au -2.421 -0.138 -1.368
Fe -1.219 1.369 -3.377
Re -1.219 2.379 -0.782
```

Summary:
The calculation puts the spin magnetization at 2.28 Bohr magnetons per cell. The raw total energy is -6.356 eV per atom. The calculation puts the formation energy at 197 kJ/mol of formula units. As for the density of states at the Fermi level: 0.952 states/eV per atom. The value obtained for the polymorph energy (0 for the lowest one) is 27.41 kJ per mole of atoms.

---

No. 3
AlSbRh | PBE | optimized geometry

extended XYZ file:
```
3
Lattice="-0.931 -0.840 -4.060 1.164 -3.146 2.608 -3.499 -0.537 0.913" Properties=species:S:1:pos:R:3 pbc="T T T"
Sb -1.867 -2.736 0.994
Rh -0.815 -1.698 -1.685
Al -0.583 -0.090 0.152
```

Summary:
The calculation puts the spin magnetization at 0.00 Bohr magnetons per cell. The raw total energy is -5.245 eV per atom. The uncorrected formation energy comes out at -0.173 eV/atom. As for the density of states at the Fermi level: 0.690 states/eV per atom.

---

No. 4
VNi7B2 | PBE | optimized geometry

extended XYZ file:
```
10
Lattice="3.716 0.000 0.000 0.000 5.814 0.137 0.000 -2.500 5.251" Properties=species:S:1:pos:R:3 pbc="T T T"
V 0.000 0.000 0.000
Ni 0.000 3.668 1.457
Ni 0.000 -0.354 3.931
Ni 1.858 -0.441 1.696
Ni 1.858 3.755 3.693
Ni 1.858 1.712 0.371
Ni 1.858 1.601 5.017
Ni 1.858 1.657 2.694
B 1.858 3.299 1.684
B 1.858 0.014 3.704
```

Summary:
The calculation puts the spin magnetization at 0.00 Bohr magnetons per cell. The raw total energy is -6.268 eV per atom. The calculation puts the formation energy at 25 kJ/mol of formula units. As for the density of states at the Fermi level: 0.656 states/eV per atom.

---

No. 5
NdMnTlCl6 | PBE | optimized geometry

extended XYZ file:
```
18
Lattice="-3.051 5.811 0.899 -3.484 -5.316 -1.867 -2.303 -3.350 13.835" Properties=species:S:1:pos:R:3 pbc="T T T"
Nd -3.915 -2.444 2.514
Nd -4.922 -0.410 10.353
Mn -3.771 1.265 3.436
Mn -5.067 -4.119 9.431
Tl 0.000 0.000 0.000
Tl -1.151 -1.675 6.917
Cl -4.498 0.055 1.519
Cl -4.453 3.241 2.298
Cl -5.871 -5.278 7.513
Cl -4.384 -6.096 10.569
Cl -3.170 -0.751 4.551
Cl -5.867 1.116 4.554
Cl -7.167 -4.358 10.527
Cl -2.967 2.424 5.354
Cl -2.970 -3.971 8.313
Cl -1.671 1.503 2.340
Cl -5.668 -2.104 8.316
Cl -4.340 -2.909 11.348
```

Summary:
The calculation puts the spin magnetization at 1.85 Bohr magnetons per cell. The raw total energy is -4.386 eV per atom. The uncorrected formation energy comes out at -1.344 eV/atom. As for the density of states at the Fermi level: 0.972 states/eV per atom.

---

No. 6
InRe2Pb | PBE | optimized geometry

extended XYZ file:
```
4
Lattice="-3.887 -1.201 -3.167 -1.007 -3.159 -3.948 -1.672 -3.750 3.239" Properties=species:S:1:pos:R:3 pbc="T T T"
In -1.642 -2.028 -0.969
Pb -4.925 -6.083 -2.907
Re -4.981 -4.661 -6.680
Re -3.196 -3.754 -2.373
```

Summary:
The calculation puts the spin magnetization at 0.00 Bohr magnetons per cell. The raw total energy is -6.968 eV per atom. The calculation puts the formation energy at 335 kJ/mol of formula units. As for the density of states at the Fermi level: 0.454 states/eV per atom. The value obtained for the polymorph energy (0 for the lowest one) is 53.13 kJ per mole of atoms.